A geometry-optimized AgSe2BrF structure. Source: Alexandria, functional PBE.

Values from the calculation:
The formation energy without anion corrections is 0.46 eV/atom. The distance to the lowest polymorph of the same formula is 0.2526 eV/atom. The calculation puts the final energy at -11.04 eV for the cell shown. The symmetry is P4/mmm (123). The calculation puts the magnetization at 3.58 μB per cell.

Cell lengths 5.219, 5.219, 5.174 Å; angles 90.00, 90.00, 90.00 degrees
Fractional positions:
Ag: 0.000 0.000 0.000
Se: 0.000 0.500 0.000
Se: 0.500 0.000 0.000
Br: 0.000 0.000 0.500
F: 0.500 0.500 0.500



A geometry-optimized Ag4SeBrF structure. Source: Alexandria, functional PBE.

Values from the calculation:
The formation energy without anion corrections is -0.35 eV/atom. The calculation puts the final energy at -41.82 eV for the cell shown. The symmetry is P2_1/m (11). The calculation puts the magnetization at 0.00 μB per cell.

Cell lengths 6.758, 5.994, 7.946 Å; angles 90.00, 112.81, 90.00 degrees
Fractional positions:
Ag: 0.113 0.009 0.205
Ag: 0.113 0.491 0.205
Ag: 0.226 0.250 0.568
Ag: 0.313 0.750 0.944
Ag: 0.687 0.250 0.056
Ag: 0.774 0.750 0.432
Ag: 0.887 0.509 0.795
Ag: 0.887 0.991 0.795
Se: 0.249 0.250 0.981
Se: 0.751 0.750 0.019
Br: 0.200 0.750 0.562
Br: 0.800 0.250 0.438
F: 0.422 0.750 0.279
F: 0.578 0.250 0.721



A geometry-optimized AgSeBr2F structure. Source: Alexandria, functional PBE.

Values from the calculation:
The formation energy without anion corrections is 0.12 eV/atom. The distance to the lowest polymorph of the same formula is 0.0000 eV/atom. The calculation puts the final energy at -10.96 eV for the cell shown. The symmetry is P4/mmm (123). The calculation puts the magnetization at 1.13 μB per cell.

Cell lengths 5.729, 5.729, 3.875 Å; angles 90.00, 90.00, 90.00 degrees
Fractional positions:
Ag: 0.000 0.000 0.000
Se: 0.500 0.500 0.000
Br: 0.000 0.500 0.500
Br: 0.500 0.000 0.500
F: 0.500 0.500 0.500



A geometry-optimized AgSeBr2F structure. Source: Alexandria, functional PBE.

Values from the calculation:
The formation energy without anion corrections is 0.31 eV/atom. The distance to the lowest polymorph of the same formula is 0.1943 eV/atom. The calculation puts the final energy at -9.99 eV for the cell shown. The symmetry is P4/mmm (123). The calculation puts the magnetization at 1.53 μB per cell.

Cell lengths 5.217, 5.217, 5.289 Å; angles 90.00, 90.00, 90.00 degrees
Fractional positions:
Ag: 0.000 0.000 0.000
Se: 0.000 0.000 0.500
Br: 0.000 0.500 0.000
Br: 0.500 0.000 0.000
F: 0.500 0.500 0.500



A geometry-optimized Ag8SeBr2F3 structure. Source: Alexandria, functional PBE.

Values from the calculation:
The formation energy without anion corrections is -0.45 eV/atom. The calculation puts the final energy at -41.50 eV for the cell shown. The symmetry is R3m (160). The calculation puts the magnetization at 0.00 μB per cell.

Cell lengths 7.714, 7.714, 7.714 Å; angles 58.13, 58.13, 58.13 degrees
Fractional positions:
Ag: 0.000 0.000 0.000
Ag: 0.413 0.413 0.886
Ag: 0.413 0.886 0.413
Ag: 0.465 0.465 0.465
Ag: 0.543 0.951 0.951
Ag: 0.886 0.413 0.413
Ag: 0.951 0.543 0.951
Ag: 0.951 0.951 0.543
Se: 0.130 0.130 0.130
Br: 0.327 0.327 0.327
Br: 0.706 0.706 0.706
F: 0.180 0.782 0.782
F: 0.782 0.180 0.782
F: 0.782 0.782 0.180



A geometry-optimized AgSe2BrF structure. Source: Alexandria, functional PBE.

Values from the calculation:
The formation energy without anion corrections is 0.33 eV/atom. The distance to the lowest polymorph of the same formula is 0.1135 eV/atom. The calculation puts the final energy at -11.74 eV for the cell shown. The symmetry is P4/mmm (123). The calculation puts the magnetization at 0.00 μB per cell.

Cell lengths 5.188, 5.188, 4.333 Å; angles 90.00, 90.00, 90.00 degrees
Fractional positions:
Ag: 0.000 0.000 0.000
Se: 0.000 0.500 0.500
Se: 0.500 0.000 0.500
Br: 0.500 0.500 0.500
F: 0.500 0.500 0.000



A geometry-optimized Ag3SeBrF structure. Source: Alexandria, functional PBE.

Values from the calculation:
The formation energy without anion corrections is -0.41 eV/atom. The calculation puts the final energy at -36.14 eV for the cell shown. The symmetry is C2/m (12). The calculation puts the magnetization at 0.00 μB per cell.

Cell lengths 7.359, 7.359, 8.263 Å; angles 106.69, 106.69, 38.48 degrees
Fractional positions:
Ag: 0.010 0.010 0.255
Ag: 0.314 0.314 0.513
Ag: 0.347 0.347 0.175
Ag: 0.653 0.653 0.825
Ag: 0.686 0.686 0.487
Ag: 0.990 0.990 0.745
Se: 0.134 0.134 0.569
Se: 0.866 0.866 0.431
Br: 0.143 0.143 0.046
Br: 0.857 0.857 0.954
F: 0.478 0.478 0.737
F: 0.522 0.522 0.263



A geometry-optimized SiAg3Br2F6 structure. Source: Alexandria, functional PBE.

Values from the calculation:
The formation energy without anion corrections is -1.71 eV/atom. The calculation puts the final energy at -49.12 eV for the cell shown. The symmetry is C2/m (12). The calculation puts the magnetization at 0.26 μB per cell.

Cell lengths 7.180, 7.180, 5.088 Å; angles 90.42, 90.42, 52.43 degrees
Fractional positions:
Si: 0.000 0.000 0.000
Ag: 0.000 0.500 0.000
Ag: 0.500 0.000 0.000
Ag: 0.500 0.500 0.500
Br: 0.303 0.303 0.382
Br: 0.697 0.697 0.618
F: 0.107 0.107 0.803
F: 0.137 0.748 0.809
F: 0.252 0.863 0.191
F: 0.748 0.137 0.809
F: 0.863 0.252 0.191
F: 0.893 0.893 0.197



A geometry-optimized SrAgBrF2 structure. Source: Alexandria, functional PBE.

Values from the calculation:
The formation energy without anion corrections is -2.29 eV/atom. The calculation puts the final energy at -42.79 eV for the cell shown. The symmetry is P2_1/m (11). The calculation puts the magnetization at 0.00 μB per cell.

Cell lengths 7.381, 3.963, 7.676 Å; angles 90.00, 107.98, 90.00 degrees
Fractional positions:
Sr: 0.128 0.250 0.227
Sr: 0.872 0.750 0.773
Ag: 0.397 0.250 0.855
Ag: 0.603 0.750 0.145
Br: 0.240 0.750 0.599
Br: 0.760 0.250 0.401
F: 0.084 0.250 0.897
F: 0.308 0.750 0.184
F: 0.692 0.250 0.816
F: 0.916 0.750 0.103



A geometry-optimized TaAg3Br2F6 structure. Source: Alexandria, functional PBE.

Values from the calculation:
The formation energy without anion corrections is -1.94 eV/atom. The calculation puts the final energy at -58.26 eV for the cell shown. The symmetry is C2/m (12). The calculation puts the magnetization at 0.00 μB per cell.

Cell lengths 8.042, 8.042, 4.982 Å; angles 96.45, 96.45, 54.16 degrees
Fractional positions:
Ta: 0.000 0.000 0.000
Ag: 0.000 0.500 0.000
Ag: 0.500 0.000 0.000
Ag: 0.500 0.500 0.500
Br: 0.318 0.318 0.333
Br: 0.682 0.682 0.667
F: 0.108 0.108 0.803
F: 0.129 0.752 0.767
F: 0.248 0.871 0.233
F: 0.752 0.129 0.767
F: 0.871 0.248 0.233
F: 0.892 0.892 0.197



A geometry-optimized TcAg3Br2F6 structure. Source: Alexandria, functional PBE.

Values from the calculation:
The formation energy without anion corrections is -1.34 eV/atom. The calculation puts the final energy at -49.62 eV for the cell shown. The symmetry is C2/m (12). The calculation puts the magnetization at 1.98 μB per cell.

Cell lengths 7.688, 7.688, 4.971 Å; angles 92.44, 92.44, 54.20 degrees
Fractional positions:
Tc: 0.000 0.000 0.000
Ag: 0.000 0.500 0.000
Ag: 0.500 0.000 0.000
Ag: 0.500 0.500 0.500
Br: 0.313 0.313 0.347
Br: 0.687 0.687 0.653
F: 0.114 0.114 0.788
F: 0.135 0.739 0.784
F: 0.261 0.865 0.216
F: 0.739 0.135 0.784
F: 0.865 0.261 0.216
F: 0.886 0.886 0.212



A geometry-optimized TcAg2Br4F2 structure. Source: Alexandria, functional PBE.

Values from the calculation:
The formation energy without anion corrections is -0.76 eV/atom. The calculation puts the final energy at -33.32 eV for the cell shown. The symmetry is C2/m (12). The calculation puts the magnetization at 3.01 μB per cell.

Cell lengths 7.058, 7.058, 5.902 Å; angles 92.23, 92.23, 65.18 degrees
Fractional positions:
Tc: 0.000 0.000 0.000
Ag: 0.289 0.289 0.029
Ag: 0.711 0.711 0.971
Br: 0.113 0.647 0.789
Br: 0.353 0.887 0.211
Br: 0.647 0.113 0.789
Br: 0.887 0.353 0.211
F: 0.106 0.106 0.757
F: 0.894 0.894 0.243



A geometry-optimized TiAg3Br2F6 structure. Source: Alexandria, functional PBE.

Values from the calculation:
The formation energy without anion corrections is -1.82 eV/atom. The calculation puts the final energy at -52.84 eV for the cell shown. The symmetry is C2/m (12). The calculation puts the magnetization at 0.47 μB per cell.

Cell lengths 7.441, 7.441, 5.074 Å; angles 90.42, 90.42, 52.28 degrees
Fractional positions:
Ti: 0.000 0.000 0.000
Ag: 0.000 0.500 0.000
Ag: 0.500 0.000 0.000
Ag: 0.500 0.500 0.500
Br: 0.308 0.308 0.366
Br: 0.692 0.692 0.634
F: 0.122 0.122 0.809
F: 0.153 0.736 0.783
F: 0.264 0.847 0.217
F: 0.736 0.153 0.783
F: 0.847 0.264 0.217
F: 0.878 0.878 0.191



A geometry-optimized Tl3Ag2Br2F3 structure. Source: Alexandria, functional PBE.

Values from the calculation:
The formation energy without anion corrections is -1.02 eV/atom. The calculation puts the final energy at -31.95 eV for the cell shown. The symmetry is I4/mmm (139). The calculation puts the magnetization at 0.00 μB per cell.

Cell lengths 11.617, 11.617, 11.617 Å; angles 153.46, 153.46, 37.88 degrees
Fractional positions:
Tl: 0.000 0.000 0.000
Tl: 0.385 0.385 0.000
Tl: 0.615 0.615 0.000
Ag: 0.214 0.214 0.000
Ag: 0.786 0.786 0.000
Br: 0.250 0.750 0.500
Br: 0.750 0.250 0.500
F: 0.110 0.110 0.000
F: 0.500 0.500 0.000
F: 0.890 0.890 0.000



A geometry-optimized UAgBr2F6 structure. Source: Alexandria, functional PBE.

Values from the calculation:
The formation energy without anion corrections is -2.12 eV/atom. The calculation puts the final energy at -49.86 eV for the cell shown. The symmetry is I4/mmm (139). The calculation puts the magnetization at 1.01 μB per cell.

Cell lengths 6.615, 6.615, 6.615 Å; angles 120.07, 120.07, 89.89 degrees
Fractional positions:
U: 0.000 0.000 0.000
Ag: 0.500 0.500 0.000
Br: 0.250 0.750 0.500
Br: 0.750 0.250 0.500
F: 0.220 0.220 0.000
F: 0.221 0.221 0.441
F: 0.221 0.779 0.000
F: 0.779 0.221 0.000
F: 0.779 0.779 0.559
F: 0.780 0.780 0.000